Record 1
The following is a GGA-PBE calculation of an optimized crystal structure of PrDyHo2Er4, from Alexandria via LeMat-Bulk.

Calculated values
Total DFT energy (no corrections) in eV/atom: -4.158
Space group: C2/c, No. 15

Unit cell a=9.4599 b=9.4599 c=6.7652 alpha=110.95 beta=110.95 gamma=88.70
Positions (direct):
Pr1 0.0000 0.5000 0.0000
Pr2 0.5000 0.0000 0.5000
Dy1 0.0000 0.0000 0.0000
Dy2 0.0000 0.0000 0.5000
Ho1 0.0000 0.5000 0.5000
Ho2 0.5000 0.0000 0.0000
Ho3 0.5000 0.5000 0.0000
Ho4 0.5000 0.5000 0.5000
Er1 0.2488 0.2522 0.5014
Er2 0.2504 0.7493 0.9980
Er3 0.2507 0.7496 0.5020
Er4 0.2522 0.2488 0.0014
Er5 0.7478 0.7512 0.9986
Er6 0.7493 0.2504 0.4980
Er7 0.7496 0.2507 0.0020
Er8 0.7512 0.7478 0.4986


Record 2
The following is a GGA-PBE calculation of an optimized crystal structure of K2Mg3Tl12Hg, from Alexandria via LeMat-Bulk.

Calculated values
Total DFT energy (no corrections) in eV/atom: -1.921
Space group: R-3m, No. 166

Unit cell a=12.4630 b=12.4630 c=12.4630 alpha=36.28 beta=36.28 gamma=36.28
Positions (direct):
K1 0.1418 0.1418 0.1418
K2 0.8582 0.8582 0.8582
Mg1 0.0000 0.5000 0.5000
Mg2 0.5000 0.0000 0.5000
Mg3 0.5000 0.5000 0.0000
Tl1 0.0890 0.0890 0.6836
Tl2 0.0890 0.6836 0.0890
Tl3 0.1111 0.5986 0.5986
Tl4 0.3164 0.9110 0.9110
Tl5 0.4014 0.4014 0.8889
Tl6 0.4014 0.8889 0.4014
Tl7 0.5986 0.1111 0.5986
Tl8 0.5986 0.5986 0.1111
Tl9 0.6836 0.0890 0.0890
Tl10 0.8889 0.4014 0.4014
Tl11 0.9110 0.3164 0.9110
Tl12 0.9110 0.9110 0.3164
Hg1 0.5000 0.5000 0.5000


Record 3
The following is a GGA-PBE calculation of an optimized crystal structure of Na8B13C3, from Alexandria via LeMat-Bulk.

Calculated values
Total DFT energy (no corrections) in eV/atom: -5.017
Space group: Fmm2, No. 42

Unit cell a=10.1080 b=5.9421 c=9.1365 alpha=81.20 beta=35.52 gamma=63.28
Positions (direct):
Na1 0.1232 0.3774 0.1228
Na2 0.1242 0.8758 0.1242
Na3 0.3755 0.6236 0.3764
Na4 0.3774 0.1232 0.3766
Na5 0.6234 0.8772 0.6226
Na6 0.6236 0.3755 0.6245
Na7 0.8758 0.1242 0.8758
Na8 0.8772 0.6234 0.8768
B1 0.0761 0.0761 0.4239
B2 0.1636 0.1636 0.8364
B3 0.1640 0.6772 0.8360
B4 0.3306 0.3306 0.6694
B5 0.3535 0.8241 0.6465
B6 0.4111 0.4111 0.0889
B7 0.4339 0.9323 0.0677
B8 0.5761 0.5761 0.9239
B9 0.6772 0.1640 0.3228
B10 0.8216 0.8216 0.1784
B11 0.8241 0.3535 0.1759
B12 0.9111 0.9111 0.5889
B13 0.9323 0.4339 0.5661
C1 0.0813 0.5824 0.4176
C2 0.5824 0.0813 0.9187
C3 0.6680 0.6680 0.3320


Record 4
The following is a GGA-PBE calculation of an optimized crystal structure of KTbPu2O8, from Alexandria via LeMat-Bulk.

Calculated values
Space group: I-4m2, No. 119
E_form (uncorrected) in eV per formula unit: -29.808

Unit cell a=6.4971 b=6.4971 c=6.4971 alpha=130.20 beta=130.20 gamma=73.09
Positions (direct):
K1 0.0000 0.0000 0.0000
Tb1 0.2500 0.7500 0.5000
Pu1 0.5000 0.5000 0.0000
Pu2 0.7500 0.2500 0.5000
O1 0.1338 0.1532 0.5455
O2 0.1338 0.5883 0.9806
O3 0.4117 0.3923 0.5455
O4 0.4117 0.8662 0.0194
O5 0.6077 0.1532 0.0194
O6 0.6077 0.5883 0.4545
O7 0.8468 0.3923 0.9806
O8 0.8468 0.8662 0.4545


Number 1: magnetization 5.82 Bohr magnetons per cell. Number 2: magnetization 0.00 Bohr magnetons per cell. Number 3: magnetization 0.00 Bohr magnetons per cell. Number 4: magnetization 4.00 Bohr magnetons per cell.